Entry 1:
This record from Alexandria via LeMat-Bulk describes crystalline YNpRhO6 at its relaxed geometry. The functional is PBE.

Computed properties:
E_form (uncorrected) in eV per atom: -2.4573
Spin magnetization in Bohr magnetons per cell: 2.00
Density in g/cm3: 7.08
Calculated volume in Å³ per atom: 13.67

Cell: 5.2649 5.2649 10.2488 Å, 90.00 90.00 120.00°
Space group P-31c (No. 163)
Unique sites:
Y  0.0000  0.0000  0.0000 [2 per cell]
Np  0.3333  0.6667  0.2500 [2 per cell]
Rh  0.3333  0.6667  0.7500 [2 per cell]
O  0.0060  0.3494  0.6366 [12 per cell]


Entry 2:
This record from Alexandria via LeMat-Bulk describes crystalline NpZnRhO6 at its relaxed geometry. The functional is PBE.

Computed properties:
E_form (uncorrected) in eV per atom: -1.6600
Spin magnetization in Bohr magnetons per cell: 0.12
Density in g/cm3: 7.84
Calculated volume in Å³ per atom: 11.80

Cell: 5.2559 5.2559 8.8788 Å, 90.00 90.00 120.00°
Space group P-31c (No. 163)
Unique sites:
Np  0.3333  0.6667  0.2500 [2 per cell]
Zn  0.3333  0.6667  0.7500 [2 per cell]
Rh  0.0000  0.0000  0.0000 [2 per cell]
O  0.0107  0.3310  0.1262 [12 per cell]


Entry 3:
This record from Alexandria via LeMat-Bulk describes crystalline NpZn2RhO8 at its relaxed geometry. The functional is PBE.

Computed properties:
E_form (uncorrected) in eV per atom: -1.5026
Spin magnetization in Bohr magnetons per cell: 3.23
Density in g/cm3: 6.89
Calculated volume in Å³ per atom: 12.03

Cell: 6.587 7.022 6.242 Å, 90.00 90.00 90.00°
Space group Cmmm (No. 65)
Unique sites:
Np  0.000  0.000  0.000 [2 per cell]
Zn  0.000  0.500  0.260 [4 per cell]
Rh  0.000  0.000  0.500 [2 per cell]
O  0.000  0.190  0.252 [8 per cell]
O  0.200  0.500  0.000 [4 per cell]
O  0.209  0.500  0.500 [4 per cell]


Entry 4:
This record from Alexandria via LeMat-Bulk describes crystalline ZrNpRhO6 at its relaxed geometry. The functional is PBE.

Computed properties:
E_form (uncorrected) in eV per atom: -2.2286
Spin magnetization in Bohr magnetons per cell: 4.05
Density in g/cm3: 7.65
Calculated volume in Å³ per atom: 12.72

Cell: 5.5188 5.5188 8.6781 Å, 90.00 90.00 120.00°
Space group P-31c (No. 163)
Unique sites:
Zr  0.3333  0.6667  0.2500 [2 per cell]
Np  0.3333  0.6667  0.7500 [2 per cell]
Rh  0.0000  0.0000  0.0000 [2 per cell]
O  0.0013  0.3325  0.6267 [12 per cell]


Entry 5:
This record from Alexandria via LeMat-Bulk describes crystalline NpRuO3 at its relaxed geometry. The functional is PBE.

Computed properties:
E_form (uncorrected) in eV per atom: -1.4018
Spin magnetization in Bohr magnetons per cell: 2.93
Density in g/cm3: 10.32
Calculated volume in Å³ per atom: 12.42

Cell: 3.960 3.960 3.960 Å, 90.00 90.00 90.00°
Space group Pm-3m (No. 221)
Unique sites:
Np  0.000  0.000  0.000 [1 per cell]
Ru  0.500  0.500  0.500 [1 per cell]
O  0.000  0.500  0.500 [3 per cell]


Entry 6:
This record from Alexandria via LeMat-Bulk describes crystalline NpRuO5 at its relaxed geometry. The functional is PBE.

Computed properties:
E_form (uncorrected) in eV per atom: -1.9051
Spin magnetization in Bohr magnetons per cell: 2.64
Density in g/cm3: 7.24
Calculated volume in Å³ per atom: 13.70

Cell: 3.673 6.639 7.863 Å, 90.00 90.00 90.00°
Space group Immm (No. 71)
Unique sites:
Np  0.000  0.000  0.000 [2 per cell]
Ru  0.000  0.000  0.500 [2 per cell]
O  0.000  0.000  0.243 [4 per cell]
O  0.000  0.307  0.500 [4 per cell]
O  0.000  0.500  0.000 [2 per cell]


Entry 7:
This record from Alexandria via LeMat-Bulk describes crystalline NpRuO6 at its relaxed geometry. The functional is PBE.

Computed properties:
E_form (uncorrected) in eV per atom: -1.4366
Spin magnetization in Bohr magnetons per cell: 4.65
Density in g/cm3: 6.90
Calculated volume in Å³ per atom: 13.06

Cell: 9.549 5.907 7.511 Å, 90.00 99.44 90.00°
Space group C2/c (No. 15)
Unique sites:
Np  0.000  0.037  0.250 [4 per cell]
Ru  0.250  0.250  0.000 [4 per cell]
O  0.098  0.298  0.148 [8 per cell]
O  0.129  0.281  0.783 [8 per cell]
O  0.145  0.054  0.483 [8 per cell]


Entry 8:
This record from Alexandria via LeMat-Bulk describes crystalline Np2RuO8 at its relaxed geometry. The functional is PBE.

Computed properties:
E_form (uncorrected) in eV per atom: -2.0130
Spin magnetization in Bohr magnetons per cell: 1.06
Density in g/cm3: 6.67
Calculated volume in Å³ per atom: 15.90

Cell: 3.421 6.561 8.235 Å, 87.01 78.46 75.01°
Space group P-1 (No. 2)
Unique sites:
Np  0.007  0.239  0.253 [2 per cell]
Ru  0.500  0.500  0.000 [1 per cell]
O  0.092  0.462  0.848 [2 per cell]
O  0.114  0.963  0.312 [2 per cell]
O  0.387  0.804  0.915 [2 per cell]
O  0.400  0.312  0.389 [2 per cell]


Entry 9:
This record from Alexandria via LeMat-Bulk describes crystalline NpRuO at its relaxed geometry. The functional is PBE.

Computed properties:
E_form (uncorrected) in eV per atom: -1.3443
Spin magnetization in Bohr magnetons per cell: 4.39
Density in g/cm3: 11.65
Calculated volume in Å³ per atom: 16.82

Cell: 3.629 4.139 6.814 Å, 90.00 99.51 90.00°
Space group P2_1/m (No. 11)
Unique sites:
Np  0.221  0.250  0.312 [2 per cell]
Ru  0.248  0.750  0.969 [2 per cell]
O  0.259  0.750  0.482 [2 per cell]


Entry 10:
This record from Alexandria via LeMat-Bulk describes crystalline NpRu2O6 at its relaxed geometry. The functional is PBE.

Computed properties:
E_form (uncorrected) in eV per atom: -1.7176
Spin magnetization in Bohr magnetons per cell: 2.63
Density in g/cm3: 8.23
Calculated volume in Å³ per atom: 11.99

Cell: 4.801 4.801 9.364 Å, 90.00 90.00 90.00°
Space group P4_2/mnm (No. 136)
Unique sites:
Np  0.000  0.000  0.000 [2 per cell]
Ru  0.000  0.000  0.328 [4 per cell]
O  0.188  0.188  0.500 [4 per cell]
O  0.207  0.207  0.172 [8 per cell]


Entry 11:
This record from Alexandria via LeMat-Bulk describes crystalline SrNpRuO6 at its relaxed geometry. The functional is PBE.

Computed properties:
E_form (uncorrected) in eV per atom: -2.2587
Spin magnetization in Bohr magnetons per cell: 5.42
Density in g/cm3: 6.28
Calculated volume in Å³ per atom: 15.33

Cell: 5.3969 5.3969 10.9423 Å, 90.00 90.00 120.00°
Space group P-31c (No. 163)
Unique sites:
Sr  0.0000  0.0000  0.0000 [2 per cell]
Np  0.3333  0.6667  0.2500 [2 per cell]
Ru  0.3333  0.6667  0.7500 [2 per cell]
O  0.0091  0.3686  0.6482 [12 per cell]


Entry 12:
This record from Alexandria via LeMat-Bulk describes crystalline Np3Tl2RuO12 at its relaxed geometry. The functional is PBE.

Computed properties:
E_form (uncorrected) in eV per atom: -2.1019
Spin magnetization in Bohr magnetons per cell: 13.57
Density in g/cm3: 7.28
Calculated volume in Å³ per atom: 17.90

Cell: 7.8638 7.8638 18.0532 Å, 90.00 90.00 120.00°
Space group R-3m (No. 166, hexagonal axes)
Unique sites:
Np  0.0000  0.5000  0.0000 [9 per cell]
Tl  0.0000  0.0000  0.1570 [6 per cell]
Ru  0.0000  0.0000  0.5000 [3 per cell]
O  0.0841  0.5420  0.3628 [18 per cell]
O  0.0925  0.5463  0.1053 [18 per cell]